Record 1
Li2CrRe | PBE-GGA | optimized geometry

Geometry as POSCAR:
```
Li2CrRe
1.0
-4.0763 -3.2898 -0.7989
-3.1731 -3.8241 1.8398
-3.4470 1.4599 1.4755
Cr Li Re
1 2 1
Direct
0.2500 0.2500 0.2500 Cr
0.9961 0.9961 0.0039 Li
0.5039 0.5039 0.4961 Li
0.7500 0.7500 0.7500 Re
```

Calculated values
Energy above the most stable polymorph in this dataset in meV per atom: 110
DOS at the Fermi energy in states/eV per cell: 2.62
Formation enthalpy at 0 K in meV/atom: 358
E_tot in eV/atom: -6.1163
Space group: C2/m

***

Record 2
Cr2MoPb | PBE-GGA | optimized geometry

Geometry as POSCAR:
```
Cr2MoPb
1.0
-2.4874 -3.9686 0.0072
1.5807 -1.9750 -3.9417
2.6324 1.6089 3.5240
Cr Mo Pb
2 1 1
Direct
0.5000 0.5000 0.0000 Cr
0.0000 0.0000 0.0000 Cr
0.2500 0.7500 0.5000 Mo
0.7500 0.2500 0.5000 Pb
```

Calculated values
DOS at the Fermi energy in states/eV per cell: 3.35
Formation enthalpy at 0 K in meV/atom: 600
E_tot in eV/atom: -7.8469
Space group: I4/mmm